1.
Below is a relaxed structure of MnTl2In, with properties calculated at the PBE level.

Properties
**Excess energy over the best structure of this formula in the dataset**: 166 meV per atom
**ΔE_f**: 400 meV/atom
**SG**: No. 225
**Crystal system**: cubic
**D(E_F)**: 2.19 states/eV/cell

Cell lengths 5.251, 5.251, 5.251 Å; angles 60.00, 60.00, 60.00 degrees
Atoms (fractional coordinates):
1 Mn 0.000 0.000 0.000
2 Tl 0.250 0.250 0.250
3 Tl 0.750 0.750 0.750
4 In 0.500 0.500 0.500



2.
Below is a relaxed structure of MnTlIn2, with properties calculated at the PBE level.

Properties
**Excess energy over the best structure of this formula in the dataset**: 160 meV per atom
**ΔE_f**: 327 meV/atom
**SG**: No. 123
**Crystal system**: tetragonal
**D(E_F)**: 2.37 states/eV/cell

Cell lengths 5.518, 5.518, 3.200 Å; angles 90.00, 90.00, 90.00 degrees
Atoms (fractional coordinates):
1 Mn 0.000 0.000 0.000
2 Tl 0.500 0.500 0.000
3 In 0.000 0.500 0.500
4 In 0.500 0.000 0.500



3.
Below is a relaxed structure of MnTl2In, with properties calculated at the PBE level.

Properties
**Excess energy over the best structure of this formula in the dataset**: 110 meV per atom
**ΔE_f**: 344 meV/atom
**SG**: No. 123
**Crystal system**: tetragonal
**D(E_F)**: 2.04 states/eV/cell

Cell lengths 4.630, 4.630, 4.598 Å; angles 90.00, 90.00, 90.00 degrees
Atoms (fractional coordinates):
1 Mn 0.000 0.000 0.000
2 Tl 0.000 0.500 0.500
3 Tl 0.500 0.000 0.500
4 In 0.500 0.500 0.000



4.
Below is a relaxed structure of MnTl2In, with properties calculated at the PBE level.

Properties
**Excess energy over the best structure of this formula in the dataset**: 133 meV per atom
**ΔE_f**: 367 meV/atom
**SG**: No. 47
**Crystal system**: orthorhombic
**D(E_F)**: 1.85 states/eV/cell

Cell lengths 3.629, 5.217, 5.345 Å; angles 90.00, 90.00, 90.00 degrees
Atoms (fractional coordinates):
1 Mn 0.000 0.000 0.000
2 Tl 0.000 0.500 0.500
3 Tl 0.500 0.500 0.000
4 In 0.500 0.000 0.500



5.
Below is a relaxed structure of Mn3TlIn, with properties calculated at the PBE level.

Properties
**Excess energy over the best structure of this formula in the dataset**: 0 meV per atom
**ΔE_f**: 1045 meV/atom
**SG**: No. 221
**Crystal system**: cubic
**D(E_F)**: 7.14 states/eV/cell

Cell lengths 5.103, 5.103, 5.103 Å; angles 90.00, 90.00, 90.00 degrees
Atoms (fractional coordinates):
1 Mn 0.000 0.000 0.500
2 Mn 0.000 0.500 0.000
3 Mn 0.500 0.000 0.000
4 Tl 0.500 0.500 0.500
5 In 0.000 0.000 0.000



6.
Below is a relaxed structure of Mn2TlIn2, with properties calculated at the PBE level.

Properties
**Excess energy over the best structure of this formula in the dataset**: 0 meV per atom
**ΔE_f**: 298 meV/atom
**SG**: No. 127
**Crystal system**: tetragonal
**D(E_F)**: 6.48 states/eV/cell

Cell lengths 8.222, 8.222, 3.087 Å; angles 90.00, 90.00, 90.00 degrees
Atoms (fractional coordinates):
1 Mn 0.116 0.384 0.000
2 Mn 0.384 0.884 0.000
3 Mn 0.616 0.116 0.000
4 Mn 0.884 0.616 0.000
5 Tl 0.000 0.000 0.000
6 Tl 0.500 0.500 0.000
7 In 0.178 0.678 0.500
8 In 0.322 0.178 0.500
9 In 0.678 0.822 0.500
10 In 0.822 0.322 0.500



7.
Below is a relaxed structure of MnTl2In, with properties calculated at the PBE level.

Properties
**Excess energy over the best structure of this formula in the dataset**: 133 meV per atom
**ΔE_f**: 367 meV/atom
**SG**: No. 139
**Crystal system**: tetragonal
**D(E_F)**: 2.44 states/eV/cell

Cell lengths 5.729, 5.729, 5.729 Å; angles 132.78, 132.78, 68.99 degrees
Atoms (fractional coordinates):
1 Mn 0.000 0.000 0.000
2 Tl 0.250 0.750 0.500
3 Tl 0.750 0.250 0.500
4 In 0.500 0.500 0.000



8.
Below is a relaxed structure of MnTlIn4, with properties calculated at the PBE level.

Properties
**ΔE_f**: 365 meV/atom
**SG**: No. 216
**Crystal system**: cubic
**D(E_F)**: 3.76 states/eV/cell

Cell lengths 6.127, 6.127, 6.127 Å; angles 60.00, 60.00, 60.00 degrees
Atoms (fractional coordinates):
1 Mn 0.000 0.000 0.000
2 Tl 0.750 0.750 0.750
3 In 0.375 0.375 0.375
4 In 0.375 0.375 0.876
5 In 0.375 0.876 0.375
6 In 0.876 0.375 0.375



9.
Below is a relaxed structure of MnTl2In, with properties calculated at the PBE level.

Properties
**Excess energy over the best structure of this formula in the dataset**: 19 meV per atom
**ΔE_f**: 254 meV/atom
**SG**: No. 12
**Crystal system**: monoclinic
**D(E_F)**: 2.62 states/eV/cell

Cell lengths 7.626, 7.626, 4.660 Å; angles 107.64, 107.64, 23.80 degrees
Atoms (fractional coordinates):
1 Mn 0.000 0.000 0.000
2 Tl 0.318 0.318 0.818
3 Tl 0.682 0.682 0.182
4 In 0.500 0.500 0.500



10.
Below is a relaxed structure of MnTlIn2, with properties calculated at the PBE level.

Properties
**Excess energy over the best structure of this formula in the dataset**: 209 meV per atom
**ΔE_f**: 377 meV/atom
**SG**: No. 225
**Crystal system**: cubic
**D(E_F)**: 2.02 states/eV/cell

Cell lengths 5.200, 5.200, 5.200 Å; angles 60.00, 60.00, 60.00 degrees
Atoms (fractional coordinates):
1 Mn 0.000 0.000 0.000
2 Tl 0.500 0.500 0.500
3 In 0.250 0.250 0.250
4 In 0.750 0.750 0.750



11.
Below is a relaxed structure of MnTl2In, with properties calculated at the PBE level.

Properties
**Excess energy over the best structure of this formula in the dataset**: 616 meV per atom
**ΔE_f**: 851 meV/atom
**SG**: No. 122
**Crystal system**: tetragonal
**D(E_F)**: 8.81 states/eV/cell

Cell lengths 10.742, 10.742, 10.742 Å; angles 156.80, 156.80, 33.04 degrees
Atoms (fractional coordinates):
1 Mn 0.000 0.000 0.000
2 Mn 0.750 0.250 0.500
3 Tl 0.106 0.625 0.981
4 Tl 0.375 0.356 0.481
5 Tl 0.644 0.125 0.019
6 Tl 0.875 0.894 0.519
7 In 0.250 0.750 0.500
8 In 0.500 0.500 0.000



12.
Below is a relaxed structure of MnTlIn2, with properties calculated at the PBE level.

Properties
**Excess energy over the best structure of this formula in the dataset**: 83 meV per atom
**ΔE_f**: 251 meV/atom
**SG**: No. 71
**Crystal system**: orthorhombic
**D(E_F)**: 2.86 states/eV/cell

Cell lengths 7.175, 7.175, 7.175 Å; angles 155.32, 140.53, 47.11 degrees
Atoms (fractional coordinates):
1 Mn 0.000 0.000 0.000
2 Tl 0.500 0.500 0.000
3 In 0.189 0.689 0.500
4 In 0.811 0.311 0.500



> Look up the ΔE_f of the fourth one.

367 meV/atom